[1]
Here is DyTiMo4 after structural relaxation from Alexandria via LeMat-Bulk. Energies are from GGA-PBE.

Results
- Fermi-level density of states (states/eV per atom) = 0.996
- final energy (eV/atom) = -9.217
- energy relative to the elements (eV/atom) = 0.0861

Cell lengths 7.6150, 7.6150, 7.6150 Å; angles 90.00, 90.00, 90.00 degrees
With the nearest neighbours (Å) after each atom.
Space group F-43m (No. 216)
Asymmetric unit:
Dy1 0.0000 0.0000 0.0000 [4 per cell]  12 Mo 3.16, 4 Ti 3.30
Ti1 0.2500 0.2500 0.2500 [4 per cell]  12 Mo 3.16, 4 Dy 3.30
Mo1 0.1250 0.1250 0.6250 [16 per cell]  6 Mo 2.69

---

[2]
Here is ZrBeI3 after structural relaxation from Alexandria via LeMat-Bulk. Energies are from GGA-PBE.

Results
- Fermi-level density of states (states/eV per atom) = 0.454
- final energy (eV/atom) = -3.220
- formation energy (no corrections) (eV/atom) = 0.164
- offset from the most stable computed form (eV per atom) = 0.0000

Cell lengths 5.7628, 5.7628, 5.7628 Å; angles 90.00, 90.00, 90.00 degrees
With the nearest neighbours (Å) after each atom.
Space group Pm-3m (No. 221)
Asymmetric unit:
Zr1 0.0000 0.0000 0.0000 [1 per cell]  6 I 2.88
Be1 0.5000 0.5000 0.5000 [1 per cell]  12 I 4.07
I1 0.0000 0.0000 0.5000 [3 per cell]  2 Zr 2.88

---

[3]
Here is KLi2Ag after structural relaxation from Alexandria via LeMat-Bulk. Energies are from GGA-PBE.

Results
- Fermi-level density of states (states/eV per atom) = 0.482
- final energy (eV/atom) = -1.886
- energy relative to the elements (eV/atom) = 0.0585

Cell lengths 3.5191, 5.8363, 10.8308 Å; angles 90.00, 90.00, 90.00 degrees
With the nearest neighbours (Å) after each atom.
Space group Immm (No. 71)
Asymmetric unit:
K1 0.0000 0.0000 0.0000 [2 per cell]  4 Ag 3.41, 2 K 3.52, 8 Li 3.61-3.73
Li1 0.0000 0.5000 0.1968 [4 per cell]  2 Ag 2.76
Ag1 0.0000 0.0000 0.5000 [2 per cell]  4 Li 2.76